Record 1
A relaxed CdGeOs2 crystal, computed with PBE.

Geometry as POSCAR:
```
CdGeOs2
1.0
6.374 0.000 0.000
0.000 6.374 0.000
0.000 0.000 6.374
Cd Ge Os
4 4 8
direct
0.000 0.000 0.000 Cd
0.000 0.500 0.500 Cd
0.500 0.000 0.500 Cd
0.500 0.500 0.000 Cd
0.250 0.250 0.750 Ge
0.250 0.750 0.250 Ge
0.750 0.250 0.250 Ge
0.750 0.750 0.750 Ge
0.000 0.000 0.500 Os
0.000 0.500 0.000 Os
0.250 0.250 0.250 Os
0.250 0.750 0.750 Os
0.500 0.000 0.000 Os
0.500 0.500 0.500 Os
0.750 0.250 0.750 Os
0.750 0.750 0.250 Os
```

Computed properties:
The calculation puts the calculated total energy at -6.21 eV per atom. For the volume, the calculation gives 16.19 Å³/atom. For the total magnetization, the calculation gives 0.02 μB/f.u.

Record 2
A relaxed Lu2SnN crystal, computed with PBE.

Geometry as POSCAR:
```
Lu2SnN
1.0
5.156 -2.978 0.000
5.156 2.978 0.000
-3.442 0.000 14.955
Lu Sn N
12 6 6
direct
0.028 0.861 0.584 Lu
0.139 0.972 0.916 Lu
0.195 0.362 0.085 Lu
0.305 0.471 0.415 Lu
0.362 0.195 0.585 Lu
0.471 0.305 0.915 Lu
0.529 0.695 0.085 Lu
0.638 0.805 0.415 Lu
0.695 0.529 0.585 Lu
0.805 0.638 0.915 Lu
0.861 0.028 0.084 Lu
0.972 0.139 0.416 Lu
0.083 0.247 0.750 Sn
0.247 0.083 0.250 Sn
0.413 0.587 0.750 Sn
0.587 0.413 0.250 Sn
0.753 0.917 0.750 Sn
0.917 0.753 0.250 Sn
0.000 0.500 0.500 N
0.167 0.666 0.000 N
0.334 0.833 0.500 N
0.500 0.000 0.000 N
0.666 0.167 0.500 N
0.833 0.334 0.000 N
```

Computed properties:
The calculation puts the calculated total energy at -6.55 eV per atom. For the volume, the calculation gives 19.13 Å³/atom. For the total magnetization, the calculation gives 0.00 μB/f.u.

Record 3
A relaxed LuSc3Hg2C2 crystal, computed with PBE.

Geometry as POSCAR:
```
LuSc3Hg2C2
1.0
3.391 0.000 0.000
-1.695 2.936 0.000
0.000 0.000 15.165
Lu Sc Hg C
1 3 2 2
direct
0.000 0.000 0.000 Lu
0.000 0.000 0.336 Sc
0.333 0.667 0.496 Sc
0.333 0.667 0.832 Sc
0.000 0.000 0.664 Hg
0.333 0.667 0.172 Hg
0.667 0.333 0.418 C
0.667 0.333 0.910 C
```

Computed properties:
The calculation puts the calculated total energy at -5.79 eV per atom. For the volume, the calculation gives 18.87 Å³/atom. For the total magnetization, the calculation gives 1.11 μB/f.u.

Record 4
A relaxed TmNiPd crystal, computed with PBE.

Geometry as POSCAR:
```
TmNiPd
1.0
6.127 0.000 0.000
0.000 6.127 0.000
0.000 0.000 6.127
Tm Ni Pd
4 4 4
direct
0.000 0.000 0.000 Tm
0.000 0.500 0.500 Tm
0.500 0.000 0.500 Tm
0.500 0.500 0.000 Tm
0.250 0.250 0.750 Ni
0.250 0.750 0.250 Ni
0.750 0.250 0.250 Ni
0.750 0.750 0.750 Ni
0.000 0.000 0.500 Pd
0.000 0.500 0.000 Pd
0.500 0.000 0.000 Pd
0.500 0.500 0.500 Pd
```

Computed properties:
For the volume, the calculation gives 19.17 Å³/atom. The calculation puts the formation energy at -0.442 eV/atom. For the total magnetization, the calculation gives 0.00 μB/f.u.

Record 5
A relaxed Zn2Au crystal, computed with PBE.

Geometry as POSCAR:
```
Zn2Au
1.0
6.092 0.000 0.000
0.000 6.092 0.000
0.000 0.000 6.092
Zn Au
8 4
direct
0.250 0.250 0.250 Zn
0.250 0.250 0.750 Zn
0.250 0.750 0.250 Zn
0.250 0.750 0.750 Zn
0.750 0.250 0.250 Zn
0.750 0.250 0.750 Zn
0.750 0.750 0.250 Zn
0.750 0.750 0.750 Zn
0.000 0.000 0.000 Au
0.000 0.500 0.500 Au
0.500 0.000 0.500 Au
0.500 0.500 0.000 Au
```

Computed properties:
For the volume, the calculation gives 18.84 Å³/atom. The calculation puts the formation energy at -0.148 eV/atom.

Record 6
A relaxed Be2Pt3Au crystal, computed with PBE.

Geometry as POSCAR:
```
Be2Pt3Au
1.0
2.809 0.000 0.000
0.000 2.809 0.000
0.000 0.000 10.167
Be Pt Au
2 3 1
direct
0.000 0.000 0.000 Be
0.500 0.500 0.482 Be
0.000 0.000 0.354 Pt
0.500 0.500 0.140 Pt
0.500 0.500 0.862 Pt
0.000 0.000 0.644 Au
```

Computed properties:
The calculation puts the calculated total energy at -5.30 eV per atom. For the volume, the calculation gives 13.37 Å³/atom. For the total magnetization, the calculation gives 0.00 μB/f.u.

Record 7
A relaxed ZrInNiPt crystal, computed with PBE.

Geometry as POSCAR:
```
ZrInNiPt
1.0
6.507 0.000 0.000
0.000 6.507 0.000
0.000 0.000 6.507
Zr In Ni Pt
4 4 4 4
direct
0.000 0.000 0.000 Zr
0.000 0.500 0.500 Zr
0.500 0.000 0.500 Zr
0.500 0.500 0.000 Zr
0.000 0.000 0.500 In
0.000 0.500 0.000 In
0.500 0.000 0.000 In
0.500 0.500 0.500 In
0.250 0.250 0.750 Ni
0.250 0.750 0.250 Ni
0.750 0.250 0.250 Ni
0.750 0.750 0.750 Ni
0.250 0.250 0.250 Pt
0.250 0.750 0.750 Pt
0.750 0.250 0.750 Pt
0.750 0.750 0.250 Pt
```

Computed properties:
The calculation puts the calculated total energy at -6.35 eV per atom. For the volume, the calculation gives 17.22 Å³/atom. For the total magnetization, the calculation gives 0.00 μB/f.u.

Record 8
A relaxed Al2Cd2Te crystal, computed with PBE.

Geometry as POSCAR:
```
Al2Cd2Te
1.0
6.387 0.000 0.000
0.000 10.370 0.000
0.000 0.000 3.690
Al Cd Te
4 4 2
direct
0.233 0.158 0.000 Al
0.267 0.658 0.000 Al
0.733 0.342 0.000 Al
0.767 0.842 0.000 Al
0.083 0.358 0.500 Cd
0.417 0.858 0.500 Cd
0.583 0.142 0.500 Cd
0.917 0.642 0.500 Cd
0.000 0.000 0.500 Te
0.500 0.500 0.500 Te
```

Computed properties:
The calculation puts the calculated total energy at -2.34 eV per atom. For the volume, the calculation gives 24.44 Å³/atom.